Density functional theory data (PBE) for crystalline LaSiTc2C at its relaxed geometry.

a = 4.046 Å, b = 5.880 Å, c = 7.410 Å
α = 90.00°, β = 90.00°, γ = 110.12°
Positions (direct):
La1 0.455 0.910 0.750
La2 0.545 0.090 0.250
Si1 0.732 0.464 0.750
Si2 0.268 0.536 0.250
Tc1 0.173 0.346 0.940
Tc2 0.827 0.654 0.060
Tc3 0.173 0.346 0.560
Tc4 0.827 0.654 0.440
C1 0.000 0.000 0.000
C2 0.000 0.000 0.500

Summary:
raw formation energy	-0.465	eV/atom
Fermi-level density of states	5.9	states/eV per cell
calculated volume	16.55	Å³ per atom
M_tot	0.0	μB/cell